Entry from Alexandria: a relaxed structure of YHfS3 (PBE).

Cell: 4.8598 4.8598 4.8598 Å, 90.00 90.00 90.00°
Fractional coordinates of all 5 atoms:
Y 0.5000 0.5000 0.5000
S 0.0000 0.0000 0.5000
S 0.0000 0.5000 0.0000
S 0.5000 0.0000 0.0000
Hf 0.0000 0.0000 0.0000

Properties
E_form (uncorrected), eV per atom: -1.23
Total magnetic moment, μB/cell: 0.00
Total DFT energy (no corrections), eV for the cell shown: -34.96


Entry from Alexandria: a relaxed structure of Y2HfS5 (PBE).

Cell: 7.2679 7.7491 11.5707 Å, 90.00 90.00 90.00°
Fractional coordinates of all 32 atoms:
Y 0.5216 0.4972 0.6789
Y 0.5216 0.0028 0.6789
Y 0.0216 0.5028 0.8211
Y 0.9784 0.0028 0.1789
Y 0.4784 0.5028 0.3211
Y 0.4784 0.9972 0.3211
Y 0.9784 0.4972 0.1789
Y 0.0216 0.9972 0.8211
S 0.9458 0.2500 0.9964
S 0.6677 0.7500 0.1805
S 0.1677 0.2500 0.3195
S 0.1894 0.7500 0.2933
S 0.3106 0.7500 0.7933
S 0.6600 0.5363 0.9066
S 0.6894 0.2500 0.2067
S 0.8400 0.9637 0.4066
S 0.5542 0.2500 0.4964
S 0.8400 0.5363 0.4066
S 0.1600 0.4637 0.5934
S 0.0542 0.7500 0.0036
S 0.4458 0.7500 0.5036
S 0.3323 0.2500 0.8195
S 0.8323 0.7500 0.6805
S 0.3400 0.4637 0.0934
S 0.6600 0.9637 0.9066
S 0.8106 0.2500 0.7067
S 0.3400 0.0363 0.0934
S 0.1600 0.0363 0.5934
Hf 0.5758 0.2500 0.9941
Hf 0.0758 0.7500 0.5059
Hf 0.4242 0.7500 0.0059
Hf 0.9242 0.2500 0.4941

Properties
E_form (uncorrected), eV per atom: -1.88
Total magnetic moment, μB/cell: 0.00
Total DFT energy (no corrections), eV for the cell shown: -234.25
Excess energy over the best structure of this formula in the dataset, meV per atom: 0


Entry from Alexandria: a relaxed structure of Y3HfS6 (PBE).

Cell: 7.8244 7.8244 7.8244 Å, 97.75 97.75 97.75°
Fractional coordinates of all 20 atoms:
S 0.0696 0.3171 0.9625
S 0.0375 0.9304 0.6829
S 0.9304 0.6829 0.0375
S 0.8100 0.4341 0.5755
S 0.3171 0.9625 0.0696
S 0.5659 0.4245 0.1900
S 0.4245 0.1900 0.5659
S 0.6829 0.0375 0.9304
S 0.5755 0.8100 0.4341
S 0.1900 0.5659 0.4245
S 0.4341 0.5755 0.8100
S 0.9625 0.0696 0.3171
Y 0.1138 0.2910 0.6213
Y 0.6213 0.1138 0.2910
Y 0.8862 0.7090 0.3787
Y 0.7090 0.3787 0.8862
Y 0.2910 0.6213 0.1138
Y 0.3787 0.8862 0.7090
Hf 0.0000 0.0000 0.0000
Hf 0.5000 0.5000 0.5000

Properties
E_form (uncorrected), eV per atom: -1.89
Total magnetic moment, μB/cell: 0.00
Total DFT energy (no corrections), eV for the cell shown: -145.94


Entry from Alexandria: a relaxed structure of YHfS3 (PBE).

Cell: 5.0647 5.0647 5.0647 Å, 90.00 90.00 90.00°
Last column: magnetic moment on the atom in μB.
Fractional coordinates of all 5 atoms:
S 0.0000 0.0000 0.5000  -0.06
S 0.0000 0.5000 0.0000  -0.07
S 0.5000 0.0000 0.0000  -0.05
Hf 0.5000 0.5000 0.5000  0.79
Y 0.0000 0.0000 0.0000  0.01

Properties
E_form (uncorrected), eV per atom: -0.28
Total magnetic moment, μB/cell: 0.94
Total DFT energy (no corrections), eV for the cell shown: -30.18


Entry from Alexandria: a relaxed structure of YHf2S2 (PBE).

Cell: 7.7574 7.7574 3.1721 Å, 90.00 90.00 90.00°
Fractional coordinates of all 10 atoms:
Y 0.0000 0.0000 0.0000
Y 0.5000 0.5000 0.0000
S 0.3524 0.1476 0.5000
S 0.6476 0.8524 0.5000
S 0.8524 0.3524 0.5000
S 0.1476 0.6476 0.5000
Hf 0.6433 0.1433 0.0000
Hf 0.1433 0.3567 0.0000
Hf 0.3567 0.8567 0.0000
Hf 0.8567 0.6433 0.0000

Properties
E_form (uncorrected), eV per atom: -0.40
Total magnetic moment, μB/cell: 0.00
Total DFT energy (no corrections), eV for the cell shown: -73.28


Entry from Alexandria: a relaxed structure of Y3HfS (PBE).

Cell: 5.2077 5.2077 5.2077 Å, 90.00 90.00 90.00°
Last column: magnetic moment on the atom in μB.
Fractional coordinates of all 5 atoms:
Y 0.5000 0.0000 0.0000  0.04
Y 0.0000 0.5000 0.0000  0.04
Y 0.0000 0.0000 0.5000  0.08
S 0.0000 0.0000 0.0000  0.00
Hf 0.5000 0.5000 0.5000  0.25

Properties
E_form (uncorrected), eV per atom: -0.45
Total magnetic moment, μB/cell: 0.84
Total DFT energy (no corrections), eV for the cell shown: -35.70
Excess energy over the best structure of this formula in the dataset, meV per atom: 0


Entry from Alexandria: a relaxed structure of YHfS4 (PBE).

Cell: 3.8624 6.2496 6.2496 Å, 90.67 90.00 90.00°
Fractional coordinates of all 6 atoms:
S 0.5000 0.6888 0.3112
S 0.0000 0.2138 0.2138
S 0.5000 0.3112 0.6888
S 0.0000 0.7862 0.7862
Y 0.5000 0.0000 0.0000
Hf 0.0000 0.5000 0.5000

Properties
E_form (uncorrected), eV per atom: -1.41
Total magnetic moment, μB/cell: 0.00
Total DFT energy (no corrections), eV for the cell shown: -41.38


Entry from Alexandria: a relaxed structure of Y2HfS5 (PBE).

Cell: 5.1913 7.0677 12.7441 Å, 90.00 90.00 111.55°
Fractional coordinates of all 16 atoms:
S 0.3074 0.6147 0.0850
S 0.0489 0.0977 0.3769
S 0.0489 0.0977 0.1231
S 0.9511 0.9023 0.6231
S 0.6926 0.3853 0.9150
S 0.6926 0.3853 0.5850
S 0.3074 0.6147 0.4150
S 0.2651 0.5301 0.7500
S 0.7349 0.4699 0.2500
S 0.9511 0.9023 0.8769
Y 0.1452 0.2905 0.9385
Y 0.8548 0.7095 0.4385
Y 0.8548 0.7095 0.0615
Y 0.1452 0.2905 0.5615
Hf 0.8099 0.6198 0.7500
Hf 0.1901 0.3802 0.2500

Properties
E_form (uncorrected), eV per atom: -1.83
Total magnetic moment, μB/cell: 0.00
Total DFT energy (no corrections), eV for the cell shown: -116.29
Excess energy over the best structure of this formula in the dataset, meV per atom: 52


Entry from Alexandria: a relaxed structure of Y3HfS (PBE).

Cell: 5.5239 5.5239 5.5239 Å, 90.00 90.00 90.00°
Fractional coordinates of all 5 atoms:
Hf 0.0000 0.0000 0.0000
S 0.5000 0.5000 0.5000
Y 0.0000 0.0000 0.5000
Y 0.5000 0.0000 0.0000
Y 0.0000 0.5000 0.0000

Properties
E_form (uncorrected), eV per atom: 0.70
Total magnetic moment, μB/cell: 0.00
Total DFT energy (no corrections), eV for the cell shown: -29.97
Excess energy over the best structure of this formula in the dataset, meV per atom: 1146


Entry from Alexandria: a relaxed structure of YHf2S (PBE).

Cell: 3.4480 3.4480 9.4330 Å, 79.47 79.47 60.00°
Last column: magnetic moment on the atom in μB.
Fractional coordinates of all 4 atoms:
Hf 0.1125 0.1125 0.6625  0.11
Hf 0.8875 0.8875 0.3375  0.11
Y 0.0000 0.0000 0.0000  0.23
S 0.5000 0.5000 0.5000  0.00

Properties
E_form (uncorrected), eV per atom: -0.28
Total magnetic moment, μB/cell: 0.65
Total DFT energy (no corrections), eV for the cell shown: -31.63


Entry from Alexandria: a relaxed structure of Hf3ZnS (PBE).

Cell: 4.7285 4.7285 4.7285 Å, 90.00 90.00 90.00°
Fractional coordinates of all 5 atoms:
S 0.0000 0.0000 0.0000
Hf 0.0000 0.5000 0.0000
Hf 0.0000 0.0000 0.5000
Hf 0.5000 0.0000 0.0000
Zn 0.5000 0.5000 0.5000

Properties
E_form (uncorrected), eV per atom: -0.20
Total magnetic moment, μB/cell: 0.00
Total DFT energy (no corrections), eV for the cell shown: -36.29
Excess energy over the best structure of this formula in the dataset, meV per atom: 0


Entry from Alexandria: a relaxed structure of Hf4ZnS (PBE).

Cell: 3.3079 6.1446 11.8658 Å, 92.80 90.00 90.00°
Fractional coordinates of all 12 atoms:
Hf 0.0000 0.3382 0.6486
Hf 0.0000 0.3250 0.1515
Hf 0.5000 0.1750 0.3485
Hf 0.5000 0.8250 0.6515
Hf 0.0000 0.6618 0.3514
Hf 0.0000 0.6750 0.8485
Hf 0.5000 0.8382 0.1486
Hf 0.5000 0.1618 0.8514
S 0.5000 0.5000 0.5000
S 0.0000 0.0000 0.0000
Zn 0.5000 0.5000 0.0000
Zn 0.0000 0.0000 0.5000

Properties
E_form (uncorrected), eV per atom: -0.39
Total magnetic moment, μB/cell: 0.00
Total DFT energy (no corrections), eV for the cell shown: -95.12


Entry from Alexandria: a relaxed structure of Hf7Zn2S2 (PBE).

Cell: 3.2794 8.6680 8.6680 Å, 60.28 79.10 79.10°
Fractional coordinates of all 11 atoms:
Zn 0.5000 0.3443 0.6557
Zn 0.0000 0.7726 0.2274
Hf 0.6159 0.4809 0.2874
Hf 0.5000 0.0337 0.9663
Hf 0.1774 0.7141 0.9311
Hf 0.1546 0.1142 0.5766
Hf 0.8454 0.4234 0.8858
Hf 0.3841 0.7126 0.5191
Hf 0.8226 0.0689 0.2859
S 0.7486 0.8461 0.6568
S 0.2514 0.3432 0.1539

Properties
E_form (uncorrected), eV per atom: -0.50
Total magnetic moment, μB/cell: 0.00
Total DFT energy (no corrections), eV for the cell shown: -86.00


Entry from Alexandria: a relaxed structure of HfZr3S (PBE).

Cell: 5.1771 5.1771 5.1771 Å, 90.00 90.00 90.00°
Fractional coordinates of all 5 atoms:
Zr 0.0000 0.5000 0.0000
Zr 0.5000 0.0000 0.0000
Zr 0.0000 0.0000 0.5000
S 0.5000 0.5000 0.5000
Hf 0.0000 0.0000 0.0000

Properties
E_form (uncorrected), eV per atom: 1.18
Total magnetic moment, μB/cell: 0.00
Total DFT energy (no corrections), eV for the cell shown: -33.84
Excess energy over the best structure of this formula in the dataset, meV per atom: 1719


Entry from Alexandria: a relaxed structure of HfZr2S2 (PBE).

Cell: 7.6749 7.6749 3.1920 Å, 90.00 90.00 90.00°
Fractional coordinates of all 10 atoms:
Zr 0.1507 0.3493 0.0000
Zr 0.3493 0.8493 0.0000
Zr 0.6507 0.1507 0.0000
Zr 0.8493 0.6507 0.0000
S 0.3552 0.1448 0.5000
S 0.8552 0.3552 0.5000
S 0.6448 0.8552 0.5000
S 0.1448 0.6448 0.5000
Hf 0.0000 0.0000 0.0000
Hf 0.5000 0.5000 0.0000

Properties
E_form (uncorrected), eV per atom: -0.51
Total magnetic moment, μB/cell: 0.00
Total DFT energy (no corrections), eV for the cell shown: -75.72
Excess energy over the best structure of this formula in the dataset, meV per atom: 578


Entry from Alexandria: a relaxed structure of HfZr2S2 (PBE).

Cell: 4.7958 4.7958 5.6501 Å, 64.89 64.89 90.00°
Fractional coordinates of all 5 atoms:
Hf 0.0000 0.0000 0.0000
S 0.2500 0.7500 0.5000
S 0.7500 0.2500 0.5000
Zr 0.6522 0.6522 0.6956
Zr 0.3478 0.3478 0.3044

Properties
E_form (uncorrected), eV per atom: -0.49
Total magnetic moment, μB/cell: 0.00
Total DFT energy (no corrections), eV for the cell shown: -37.77
Excess energy over the best structure of this formula in the dataset, meV per atom: 596


Entry from Alexandria: a relaxed structure of Hf2ZrS (PBE).

Cell: 3.2325 3.2325 9.5629 Å, 80.27 80.27 60.00°
Fractional coordinates of all 4 atoms:
Hf 0.1029 0.1029 0.6913
Hf 0.8971 0.8971 0.3087
Zr 0.0000 0.0000 0.0000
S 0.5000 0.5000 0.5000

Properties
E_form (uncorrected), eV per atom: -0.27
Total magnetic moment, μB/cell: 0.00
Total DFT energy (no corrections), eV for the cell shown: -33.67


Entry from Alexandria: a relaxed structure of HfZr3S (PBE).

Cell: 6.7543 6.7543 6.7543 Å, 90.97 118.74 120.15°
Fractional coordinates of all 10 atoms:
Zr 0.0597 0.2815 0.2782
Zr 0.5317 0.7666 0.7350
Zr 0.0033 0.7815 0.7218
Zr 0.0317 0.2666 0.7349
Zr 0.5317 0.2968 0.2651
Zr 0.0317 0.7968 0.2650
Hf 0.5544 0.7818 0.2726
Hf 0.5092 0.2818 0.7274
S 0.0318 0.5316 0.0002
S 0.5315 0.0316 0.9998

Properties
E_form (uncorrected), eV per atom: -0.54
Total magnetic moment, μB/cell: 0.00
Total DFT energy (no corrections), eV for the cell shown: -84.86
Excess energy over the best structure of this formula in the dataset, meV per atom: 0


Entry from Alexandria: a relaxed structure of HfZrS6 (PBE).

Cell: 3.6353 5.1705 9.7402 Å, 83.80 90.00 90.00°
Fractional coordinates of all 8 atoms:
S 0.5000 0.2395 0.5521
S 0.0000 0.7597 0.4523
S 0.5000 0.5127 0.1930
S 0.5000 0.1110 0.1939
S 0.0000 0.4869 0.8044
S 0.0000 0.8904 0.8036
Hf 0.5000 0.7208 0.6435
Zr 0.0000 0.2791 0.3572

Properties
E_form (uncorrected), eV per atom: -1.20
Total magnetic moment, μB/cell: 0.00
Total DFT energy (no corrections), eV for the cell shown: -52.87


Entry from Alexandria: a relaxed structure of HfZr2S2 (PBE).

Cell: 7.1407 7.1407 3.4663 Å, 90.00 90.00 90.00°
Fractional coordinates of all 10 atoms:
S 0.8515 0.6485 0.0000
S 0.6485 0.1485 0.0000
S 0.1485 0.3515 0.0000
S 0.3515 0.8515 0.0000
Hf 0.5000 0.5000 0.0000
Hf 0.0000 0.0000 0.0000
Zr 0.6583 0.8417 0.5000
Zr 0.3417 0.1583 0.5000
Zr 0.8417 0.3417 0.5000
Zr 0.1583 0.6583 0.5000

Properties
E_form (uncorrected), eV per atom: -1.09
Total magnetic moment, μB/cell: 0.00
Total DFT energy (no corrections), eV for the cell shown: -81.50
Excess energy over the best structure of this formula in the dataset, meV per atom: 0


Entry from Alexandria: a relaxed structure of HfZrS (PBE).

Cell: 3.4936 3.4936 5.6590 Å, 90.00 90.00 120.00°
Fractional coordinates of all 3 atoms:
Zr 0.3333 0.6667 0.6210
S 0.6667 0.3333 0.3309
Hf 0.0000 0.0000 0.0481

Properties
E_form (uncorrected), eV per atom: -1.04
Total magnetic moment, μB/cell: 0.00
Total DFT energy (no corrections), eV for the cell shown: -25.75
Excess energy over the best structure of this formula in the dataset, meV per atom: 0


Entry from Alexandria: a relaxed structure of Hf8ZrS4 (PBE).

Cell: 3.4158 8.5697 9.3027 Å, 81.24 79.42 78.50°
Fractional coordinates of all 13 atoms:
Hf 0.2056 0.7006 0.8883
Hf 0.5508 0.6829 0.2156
Hf 0.8583 0.0065 0.2769
Hf 0.1315 0.3574 0.3796
Hf 0.8259 0.3028 0.0454
Hf 0.4806 0.3206 0.7181
Hf 0.1731 0.9969 0.6569
Hf 0.9000 0.6460 0.5541
S 0.1889 0.5012 0.1210
S 0.8425 0.5022 0.8128
S 0.3639 0.8377 0.4345
S 0.6675 0.1657 0.4993
Zr 0.5157 0.0017 0.9669

Properties
E_form (uncorrected), eV per atom: -0.81
Total magnetic moment, μB/cell: 0.00
Total DFT energy (no corrections), eV for the cell shown: -115.24


Entry from Alexandria: a relaxed structure of HfZrS3 (PBE).

Cell: 4.8801 4.8801 4.8801 Å, 90.00 90.00 90.00°
Last column: magnetic moment on the atom in μB.
Fractional coordinates of all 5 atoms:
Hf 0.5000 0.5000 0.5000  1.01
S 0.0000 0.0000 0.5000  -0.04
S 0.0000 0.5000 0.0000  -0.04
S 0.5000 0.0000 0.0000  -0.03
Zr 0.0000 0.0000 0.0000  0.07

Properties
E_form (uncorrected), eV per atom: -0.33
Total magnetic moment, μB/cell: 1.56
Total DFT energy (no corrections), eV for the cell shown: -32.54
Excess energy over the best structure of this formula in the dataset, meV per atom: 923